1.
Y2Au2Br after structural relaxation, computed with PBE.

formation energy from raw total energies	-801	meV/atom
final energy	-5.03	eV/atom
mass density	8.65	Mg/m³
total magnetization	0.0	μB per cell
offset from the most stable computed form	125	meV/atom

abc: 8.2210 8.2210 3.7032
angles: 90.00 90.00 90.00
Space group P4/mbm (No. 127)
Inequivalent atoms, fractional coordinates:
Y  0.1633  0.3367  0.0000 x4
Au  0.1278  0.6278  0.5000 x4
Br  0.0000  0.0000  0.5000 x2


2.
ScV2P after structural relaxation, computed with PBE.

final energy	-7.51	eV/atom
ΔE_f	-0.02	eV per atom
mass density	5.16	Mg/m³
total magnetization	14.3	μB per cell
offset from the most stable computed form	67	meV/atom

abc: 6.1181 6.1181 6.1181
angles: 90.00 90.00 90.00
Space group Fm-3m (No. 225)
Inequivalent atoms, fractional coordinates:
Sc  0.0000  0.0000  0.0000 x4
V  0.2500  0.2500  0.2500 x8
P  0.0000  0.0000  0.5000 x4


3.
Cr3As after structural relaxation, computed with PBE.

final energy	-8.21	eV/atom
ΔE_f	0.17	eV per atom
mass density	7.67	Mg/m³
total magnetization	0.0	μB per cell

abc: 2.7768 3.7729 4.7701
angles: 90.00 90.00 90.00
Space group Pmmm (No. 47)
Inequivalent atoms, fractional coordinates:
Cr  0.0000  0.0000  0.0000 x1
Cr  0.5000  0.5000  0.2493 x2
As  0.0000  0.0000  0.5000 x1


4.
SrPNO2 after structural relaxation, computed with PBE.

formation energy from raw total energies	1241	meV/atom
final energy	-3.83	eV/atom
mass density	1.88	Mg/m³
total magnetization	4.0	μB per cell

abc: 4.5159 4.5159 7.1104
angles: 90.00 90.00 90.00
Space group P4/mmm (No. 123)
Inequivalent atoms, fractional coordinates:
Sr  0.0000  0.0000  0.0000 x1
P  0.0000  0.0000  0.5000 x1
N  0.5000  0.5000  0.5000 x1
O  0.0000  0.5000  0.0000 x2


5.
Pr2PaPt after structural relaxation, computed with PBE.

final energy	-6.21	eV/atom
ΔE_f	0.07	eV per atom
mass density	10.27	Mg/m³
total magnetization	0.0	μB per cell

abc: 3.4769 3.4769 32.8042
angles: 90.00 90.00 120.00
Space group R-3m (No. 166, hexagonal axes)
Inequivalent atoms, fractional coordinates:
Pr  0.0000  0.0000  0.1014 x6
Pa  0.0000  0.0000  0.0000 x3
Pt  0.0000  0.0000  0.5000 x3


6.
Cs4CaCe3S8 after structural relaxation, computed with PBE.

formation energy from raw total energies	-1713	meV/atom
final energy	-5.23	eV/atom
mass density	4.10	Mg/m³
total magnetization	2.0	μB per cell

abc: 8.4344 8.4344 8.2056
angles: 90.00 90.00 120.00
Space group P-3m1 (No. 164)
Inequivalent atoms, fractional coordinates:
Cs  0.0000  0.0000  0.0000 x1
Cs  0.0000  0.5000  0.0000 x3
Ca  0.0000  0.0000  0.5000 x1
Ce  0.0000  0.5000  0.5000 x3
S  0.1705  0.3410  0.3177 x6
S  0.3333  0.6667  0.6832 x2


Repeat the second record exactly.
ScV2P after structural relaxation, computed with PBE.

final energy	-7.51	eV/atom
ΔE_f	-0.02	eV per atom
mass density	5.16	Mg/m³
total magnetization	14.3	μB per cell
offset from the most stable computed form	67	meV/atom

abc: 6.1181 6.1181 6.1181
angles: 90.00 90.00 90.00
Space group Fm-3m (No. 225)
Inequivalent atoms, fractional coordinates:
Sc  0.0000  0.0000  0.0000 x4
V  0.2500  0.2500  0.2500 x8
P  0.0000  0.0000  0.5000 x4


Look up the final energy of the sixth one. -5.23 eV/atom


Which of these has the highest final energy? SrPNO2